Entry from Alexandria via LeMat-Bulk: YCrSi2 after structural relaxation (PBE-GGA).

As for the density of states at the Fermi level: 4.89 states/eV/cell. As for the total energy: -7.1599 eV/atom. As for the total moment: 0.30 μB per cell. The value obtained for the energy relative to the elements, uncorrected is -427 meV/atom.

It has space group C2/m (No. 12), with a = 7.670 Å, b = 3.608 Å, c = 5.332 Å, α = 90.00°, β = 109.90° and γ = 90.00°. The inequivalent atoms are Y at (0.000, 0.000, 0.000), Cr at (0.000, 0.500, 0.500) and Si at (0.227, 0.000, 0.640).